A plane-wave DFT calculation with PBE with a Hubbard U was carried out for a geometry-optimized YCo2O structure.

Unit cell a=7.099 b=7.099 c=7.099 alpha=143.50 beta=143.50 gamma=52.58
Atoms (fractional coordinates):
Y 0.375 0.625 0.750
Y 0.625 0.375 0.250
Co 0.000 0.000 0.000
Co 0.000 0.000 0.500
Co 0.000 0.500 0.000
Co 0.500 0.000 0.500
O 0.125 0.875 0.250
O 0.875 0.125 0.750

Results
Total magnetization ... 1.89 μB/f.u.
Uncorrected energy ... -43.78 eV for the cell shown
Space-group type ... I4_1/amd (141)